Record 1
First-principles (GGA-PBE) data for Li5Y after structural relaxation, as listed in Alexandria via LeMat-Bulk.

Output
crystal system	monoclinic
DOS at the Fermi energy	4.16	states/eV per cell
DFT formation energy	0.10	eV/atom
ΔE to the lowest computed polymorph	0.14	eV/f.u.

Lattice parameters (Å, degrees): 5.8772 5.8772 7.4429 107.53 107.53 33.15
Last column: nearest neighbours and their distance in Å.
Fractional positions:
Li 0.0000 0.0000 0.0000  7 Li 2.98-3.28, 2 Y 3.29
Li 0.0194 0.0194 0.4491  6 Li 2.86-2.98
Li 0.3484 0.3484 0.1778  6 Li 2.86-2.98
Li 0.3693 0.3693 0.6294  7 Li 2.98-3.29, 2 Y 3.29
Li 0.6848 0.6848 0.3151  8 Li 2.90-3.09
Y 0.6841 0.6841 0.8136  10 Li 3.23-3.39, 2 Y 3.35

=====

Record 2
First-principles (GGA-PBE) data for Sn4SbAu after structural relaxation, as listed in Alexandria via LeMat-Bulk.

Output
crystal system	monoclinic
DOS at the Fermi energy	5.55	states/eV per cell
final energy	-3.904	eV/atom

Lattice parameters (Å, degrees): 9.3377 9.3377 5.9578 90.29 90.29 141.60
Last column: nearest neighbours and their distance in Å.
Fractional positions:
Sn 0.0089 0.9911 0.5000  1 Au 2.90, 5 Sn 3.00-3.21, 1 Sb 3.24
Sn 0.5000 0.5171 0.0163  1 Au 2.90, 5 Sn 2.99-3.22, 1 Sb 3.23
Sn 0.5171 0.5000 0.5163  1 Au 2.90, 5 Sn 2.99-3.22, 1 Sb 3.23
Sn 0.5601 0.9502 0.5079  1 Au 2.78, 2 Sn 3.01
Sn 0.5846 0.9238 0.0079  4 Sn 3.01-3.22, 2 Au 3.09-3.10, 1 Sb 3.14
Sn 0.9238 0.5846 0.5079  4 Sn 3.01-3.22, 2 Au 3.09-3.10, 1 Sb 3.14
Sn 0.9502 0.5601 0.0079  1 Au 2.78, 2 Sn 3.01
Sn 0.9911 0.0089 0.0000  1 Au 2.90, 5 Sn 3.00-3.21, 1 Sb 3.24
Sb 0.1027 0.4070 0.5078  2 Au 2.98, 5 Sn 3.14-3.24
Sb 0.4070 0.1027 0.0078  2 Au 2.98, 5 Sn 3.14-3.24
Au 0.1076 0.4024 0.0078  5 Sn 2.78-3.10, 2 Sb 2.98
Au 0.4024 0.1076 0.5078  5 Sn 2.78-3.10, 2 Sb 2.98

=====

Record 3
First-principles (GGA-PBE) data for Zn6Cu3Pd after structural relaxation, as listed in Alexandria via LeMat-Bulk.

Output
crystal system	monoclinic
DOS at the Fermi energy	4.48	states/eV per cell
DFT formation energy	-0.17	eV/atom
ΔE to the lowest computed polymorph	0.00	eV/f.u.

Lattice parameters (Å, degrees): 8.0606 3.9682 8.5869 90.00 95.14 90.00
Last column: nearest neighbours and their distance in Å.
Fractional positions:
Zn 0.0393 0.2500 0.3970  7 Cu 2.59-2.67, 5 Zn 2.66-2.78
Zn 0.1277 0.7500 0.1941  5 Cu 2.54-2.63, 1 Pd 2.66, 4 Zn 2.72-2.78
Zn 0.2437 0.2500 0.9864  4 Cu 2.57-2.68, 3 Pd 2.68-2.77, 3 Zn 2.69-2.76
Zn 0.3414 0.2500 0.2946  8 Zn 2.63-2.74, 2 Pd 2.71, 2 Cu 2.74
Zn 0.3456 0.7500 0.7935  4 Cu 2.59-2.67, 5 Zn 2.70-2.78, 3 Pd 2.73
Zn 0.4449 0.2500 0.5941  4 Cu 2.55-2.65, 7 Zn 2.63-2.78, 1 Pd 2.65
Zn 0.5551 0.7500 0.4059  4 Cu 2.55-2.65, 7 Zn 2.63-2.78, 1 Pd 2.65
Zn 0.6544 0.2500 0.2065  4 Cu 2.59-2.67, 5 Zn 2.70-2.78, 3 Pd 2.73
Zn 0.6586 0.7500 0.7054  8 Zn 2.63-2.74, 2 Pd 2.71, 2 Cu 2.74
Zn 0.7563 0.7500 0.0136  4 Cu 2.57-2.68, 3 Pd 2.68-2.77, 3 Zn 2.69-2.76
Zn 0.8723 0.2500 0.8059  5 Cu 2.54-2.63, 1 Pd 2.66, 4 Zn 2.72-2.78
Zn 0.9607 0.7500 0.6030  7 Cu 2.59-2.67, 5 Zn 2.66-2.78
Cu 0.0552 0.7500 0.8996  8 Zn 2.54-2.68, 4 Cu 2.82-2.85
Cu 0.1535 0.2500 0.6885  8 Zn 2.55-2.63, 4 Cu 2.77-2.85
Cu 0.2469 0.7500 0.4889  10 Zn 2.59-2.74, 2 Cu 2.77
Cu 0.7531 0.2500 0.5111  10 Zn 2.59-2.74, 2 Cu 2.77
Cu 0.8465 0.7500 0.3115  8 Zn 2.55-2.63, 4 Cu 2.77-2.85
Cu 0.9448 0.2500 0.1004  8 Zn 2.54-2.68, 4 Cu 2.82-2.85
Pd 0.4369 0.7500 0.1077  10 Zn 2.65-2.77, 2 Pd 2.95
Pd 0.5631 0.2500 0.8923  10 Zn 2.65-2.77, 2 Pd 2.95

=====

Record 4
First-principles (GGA-PBE) data for LiTiFe2H after structural relaxation, as listed in Alexandria via LeMat-Bulk.

Output
crystal system	tetragonal
DOS at the Fermi energy	9.32	states/eV per cell
final energy	-4.317	eV/atom

Lattice parameters (Å, degrees): 3.7832 3.7832 4.3146 90.00 90.00 90.00
Last column: nearest neighbours and their distance in Å.
Fractional positions:
Li 0.0000 0.0000 0.0000  4 Fe 1.89
Ti 0.0000 0.0000 0.5000  2 Li 2.16
Fe 0.0000 0.5000 0.0000  2 Li 1.89
Fe 0.5000 0.0000 0.0000  2 Li 1.89
H 0.5000 0.5000 0.5000  4 Ti 2.68, 8 Fe 2.87